# SbMoI2O (PBE with a Hubbard U, optimized geometry)
data_SbMoI2O
_chemical_formula_sum 'Sb1 Mo1 I2 O1'
_symmetry_space_group_name_H-M 'P 1'
_symmetry_Int_Tables_number 1
_symmetry_space_group_name_Hall 'P 1'
_cell_length_a 5.9932
_cell_length_b 5.9932
_cell_length_c 3.8854
_cell_angle_alpha 90.00
_cell_angle_beta 90.00
_cell_angle_gamma 90.00
loop_
_atom_site_label
_atom_site_type_symbol
_atom_site_fract_x
_atom_site_fract_y
_atom_site_fract_z
I1 I 0.0000 0.5000 0.0000
I2 I 0.5000 0.0000 0.0000
Sb1 Sb 0.5000 0.5000 0.5000
Mo1 Mo 0.0000 0.0000 0.0000
O1 O 0.0000 0.0000 0.5000
# DOS(E_F), states/eV/cell: 3.66
# Final energy, eV/cell: -20.0
# Offset from the most stable computed form, meV/atom: 0
# Calculated volume, Å³/f.u.: 139.6